# TaAlTe2 | Alexandria via LeMat-Bulk | PBE | optimized geometry
data_TaAlTe2
_cell_length_a 3.2762
_cell_length_b 4.8489
_cell_length_c 5.7759
_cell_angle_alpha 90.00
_cell_angle_beta 100.37
_cell_angle_gamma 90.00
_symmetry_space_group_name_H-M 'P 1'
_symmetry_Int_Tables_number 1
loop_
_symmetry_equiv_pos_as_xyz
'x,y,z'
loop_
_atom_site_label
_atom_site_type_symbol
_atom_site_fract_x
_atom_site_fract_y
_atom_site_fract_z
_atom_site_occupancy
Ta1 Ta 0.0000 0.0000 0.0000 1
Al1 Al 0.5000 0.0000 0.5000 1
Te1 Te 0.1766 0.5000 0.7596 1
Te2 Te 0.8234 0.5000 0.2404 1
# Space group ... P2/m (10)
# ΔE_f (raw) ... 0.45 eV per atom

# NiHgSeBr2 | Alexandria via LeMat-Bulk | PBE | optimized geometry
data_NiHgSeBr2
_cell_length_a 4.9126
_cell_length_b 4.9126
_cell_length_c 4.9388
_cell_angle_alpha 90.00
_cell_angle_beta 90.00
_cell_angle_gamma 90.00
_symmetry_space_group_name_H-M 'P 1'
_symmetry_Int_Tables_number 1
loop_
_symmetry_equiv_pos_as_xyz
'x,y,z'
loop_
_atom_site_label
_atom_site_type_symbol
_atom_site_fract_x
_atom_site_fract_y
_atom_site_fract_z
_atom_site_occupancy
Ni1 Ni 0.0000 0.0000 0.0000 1
Hg1 Hg 0.5000 0.5000 0.5000 1
Se1 Se 0.0000 0.0000 0.5000 1
Br1 Br 0.0000 0.5000 0.0000 1
Br2 Br 0.5000 0.0000 0.0000 1
# Space group ... P4/mmm (123)
# ΔE_f (raw) ... 0.10 eV per atom
# ΔE to the lowest computed polymorph ... 0.0000 eV per atom

# Be5Co4 | Alexandria via LeMat-Bulk | PBE | optimized geometry
data_Be5Co4
_cell_length_a 6.4164
_cell_length_b 6.4164
_cell_length_c 4.4325
_cell_angle_alpha 90.00
_cell_angle_beta 90.00
_cell_angle_gamma 120.00
_symmetry_space_group_name_H-M 'P 1'
_symmetry_Int_Tables_number 1
loop_
_symmetry_equiv_pos_as_xyz
'x,y,z'
loop_
_atom_site_label
_atom_site_type_symbol
_atom_site_fract_x
_atom_site_fract_y
_atom_site_fract_z
_atom_site_occupancy
Be1 Be 0.0000 0.3099 0.2500 1
Be2 Be 0.0000 0.6901 0.7500 1
Be3 Be 0.3099 0.0000 0.2500 1
Be4 Be 0.3099 0.3099 0.7500 1
Be5 Be 0.3333 0.6667 0.0000 1
Be6 Be 0.3333 0.6667 0.5000 1
Be7 Be 0.6667 0.3333 0.0000 1
Be8 Be 0.6667 0.3333 0.5000 1
Be9 Be 0.6901 0.0000 0.7500 1
Be10 Be 0.6901 0.6901 0.2500 1
Co1 Co 0.0000 0.0000 0.0000 1
Co2 Co 0.0000 0.0000 0.5000 1
Co3 Co 0.0000 0.3610 0.7500 1
Co4 Co 0.0000 0.6390 0.2500 1
Co5 Co 0.3610 0.0000 0.7500 1
Co6 Co 0.3610 0.3610 0.2500 1
Co7 Co 0.6390 0.0000 0.2500 1
Co8 Co 0.6390 0.6390 0.7500 1
# Space group ... P6_3/mcm (193)
# ΔE to the lowest computed polymorph ... 0.0000 eV per atom
# E_form ... -221 meV per atom

# NbCuAs2 | Alexandria via LeMat-Bulk | PBE | optimized geometry
data_NbCuAs2
_cell_length_a 4.5365
_cell_length_b 4.5365
_cell_length_c 4.5365
_cell_angle_alpha 60.00
_cell_angle_beta 60.00
_cell_angle_gamma 60.00
_symmetry_space_group_name_H-M 'P 1'
_symmetry_Int_Tables_number 1
loop_
_symmetry_equiv_pos_as_xyz
'x,y,z'
loop_
_atom_site_label
_atom_site_type_symbol
_atom_site_fract_x
_atom_site_fract_y
_atom_site_fract_z
_atom_site_occupancy
Nb1 Nb 0.0000 0.0000 0.0000 1
Cu1 Cu 0.5000 0.5000 0.5000 1
As1 As 0.2500 0.2500 0.2500 1
As2 As 0.7500 0.7500 0.7500 1
# Space group ... Fm-3m (225)
# E_form ... 107 meV per atom

# Pr2PbF8 | Alexandria via LeMat-Bulk | PBE | optimized geometry
data_Pr2PbF8
_cell_length_a 6.9972
_cell_length_b 6.9972
_cell_length_c 6.9972
_cell_angle_alpha 147.51
_cell_angle_beta 124.12
_cell_angle_gamma 66.15
_symmetry_space_group_name_H-M 'P 1'
_symmetry_Int_Tables_number 1
loop_
_symmetry_equiv_pos_as_xyz
'x,y,z'
loop_
_atom_site_label
_atom_site_type_symbol
_atom_site_fract_x
_atom_site_fract_y
_atom_site_fract_z
_atom_site_occupancy
Pr1 Pr 0.1810 0.1810 0.0000 1
Pr2 Pr 0.8190 0.8190 0.0000 1
Pb1 Pb 0.5000 0.5000 0.0000 1
F1 F 0.0587 0.3381 0.7206 1
F2 F 0.1889 0.0000 0.1889 1
F3 F 0.3375 0.8375 0.5000 1
F4 F 0.3825 0.6619 0.7206 1
F5 F 0.6175 0.3381 0.2794 1
F6 F 0.6625 0.1625 0.5000 1
F7 F 0.8111 0.0000 0.8111 1
F8 F 0.9413 0.6619 0.2794 1
# Space group ... Immm (71)
# ΔE_f (raw) ... -3.53 eV per atom

# FeRh5 | Alexandria via LeMat-Bulk | PBE | optimized geometry
data_FeRh5
_cell_length_a 2.7148
_cell_length_b 2.7148
_cell_length_c 11.2560
_cell_angle_alpha 90.00
_cell_angle_beta 90.00
_cell_angle_gamma 90.00
_symmetry_space_group_name_H-M 'P 1'
_symmetry_Int_Tables_number 1
loop_
_symmetry_equiv_pos_as_xyz
'x,y,z'
loop_
_atom_site_label
_atom_site_type_symbol
_atom_site_fract_x
_atom_site_fract_y
_atom_site_fract_z
_atom_site_occupancy
Fe1 Fe 0.0000 0.0000 0.0000 1
Rh1 Rh 0.0000 0.0000 0.3303 1
Rh2 Rh 0.0000 0.0000 0.6697 1
Rh3 Rh 0.5000 0.5000 0.1579 1
Rh4 Rh 0.5000 0.5000 0.5000 1
Rh5 Rh 0.5000 0.5000 0.8421 1
# Space group ... P4/mmm (123)
# E_form ... -3 meV per atom

# NpCd2BiO6 | Alexandria via LeMat-Bulk | PBE | optimized geometry
data_NpCd2BiO6
_cell_length_a 5.8410
_cell_length_b 5.9053
_cell_length_c 10.3100
_cell_angle_alpha 90.00
_cell_angle_beta 123.62
_cell_angle_gamma 90.00
_symmetry_space_group_name_H-M 'P 1'
_symmetry_Int_Tables_number 1
loop_
_symmetry_equiv_pos_as_xyz
'x,y,z'
loop_
_atom_site_label
_atom_site_type_symbol
_atom_site_fract_x
_atom_site_fract_y
_atom_site_fract_z
_atom_site_occupancy
Np1 Np 0.0000 0.0000 0.0000 1
Np2 Np 0.0000 0.5000 0.5000 1
Cd1 Cd 0.2582 0.0359 0.7512 1
Cd2 Cd 0.2582 0.4641 0.2512 1
Cd3 Cd 0.7418 0.5359 0.7488 1
Cd4 Cd 0.7418 0.9641 0.2488 1
Bi1 Bi 0.5000 0.0000 0.5000 1
Bi2 Bi 0.5000 0.5000 0.0000 1
O1 O 0.0840 0.1909 0.4295 1
O2 O 0.0840 0.3091 0.9295 1
O3 O 0.2509 0.6620 0.4378 1
O4 O 0.2509 0.8380 0.9378 1
O5 O 0.3607 0.0892 0.2408 1
O6 O 0.3607 0.4108 0.7408 1
O7 O 0.6393 0.5892 0.2592 1
O8 O 0.6393 0.9108 0.7592 1
O9 O 0.7491 0.1620 0.0622 1
O10 O 0.7491 0.3380 0.5622 1
O11 O 0.9160 0.6909 0.0705 1
O12 O 0.9160 0.8091 0.5705 1
# Space group ... P2_1/c (14)
# ΔE_f (raw) ... -1.72 eV per atom

# LiErHf | Alexandria via LeMat-Bulk | PBE | optimized geometry
data_LiErHf
_cell_length_a 3.2469
_cell_length_b 3.2469
_cell_length_c 13.6302
_cell_angle_alpha 90.00
_cell_angle_beta 90.00
_cell_angle_gamma 90.00
_symmetry_space_group_name_H-M 'P 1'
_symmetry_Int_Tables_number 1
loop_
_symmetry_equiv_pos_as_xyz
'x,y,z'
loop_
_atom_site_label
_atom_site_type_symbol
_atom_site_fract_x
_atom_site_fract_y
_atom_site_fract_z
_atom_site_occupancy
Li1 Li 0.2500 0.2500 0.0677 1
Li2 Li 0.7500 0.7500 0.9323 1
Er1 Er 0.2500 0.2500 0.3946 1
Er2 Er 0.7500 0.7500 0.6054 1
Hf1 Hf 0.2500 0.2500 0.7664 1
Hf2 Hf 0.7500 0.7500 0.2336 1
# Space group ... P4/nmm (129)
# ΔE to the lowest computed polymorph ... 0.0041 eV per atom
# E_form ... 188 meV per atom

# Sm3Dy3Tm8 | Alexandria via LeMat-Bulk | PBE | optimized geometry
data_Sm3Dy3Tm8
_cell_length_a 9.5842
_cell_length_b 9.5842
_cell_length_c 9.5842
_cell_angle_alpha 146.14
_cell_angle_beta 112.15
_cell_angle_gamma 78.03
_symmetry_space_group_name_H-M 'P 1'
_symmetry_Int_Tables_number 1
loop_
_symmetry_equiv_pos_as_xyz
'x,y,z'
loop_
_atom_site_label
_atom_site_type_symbol
_atom_site_fract_x
_atom_site_fract_y
_atom_site_fract_z
_atom_site_occupancy
Sm1 Sm 0.0000 0.0000 0.0000 1
Sm2 Sm 0.1837 0.6837 0.5000 1
Sm3 Sm 0.8163 0.3163 0.5000 1
Dy1 Dy 0.2037 0.5000 0.7037 1
Dy2 Dy 0.5000 0.5000 0.0000 1
Dy3 Dy 0.7963 0.5000 0.2963 1
Tm1 Tm 0.1188 0.2792 0.8395 1
Tm2 Tm 0.2392 0.8969 0.3423 1
Tm3 Tm 0.4397 0.2792 0.1605 1
Tm4 Tm 0.4454 0.1031 0.3423 1
Tm5 Tm 0.5546 0.8969 0.6577 1
Tm6 Tm 0.5603 0.7208 0.8395 1
Tm7 Tm 0.7608 0.1031 0.6577 1
Tm8 Tm 0.8812 0.7208 0.1605 1
# Space group ... Immm (71)
# E_form ... 114 meV per atom

# Sr2ZnSn3 | Alexandria via LeMat-Bulk | PBE | optimized geometry
data_Sr2ZnSn3
_cell_length_a 4.7183
_cell_length_b 4.7569
_cell_length_c 8.2625
_cell_angle_alpha 90.00
_cell_angle_beta 90.00
_cell_angle_gamma 90.00
_symmetry_space_group_name_H-M 'P 1'
_symmetry_Int_Tables_number 1
loop_
_symmetry_equiv_pos_as_xyz
'x,y,z'
loop_
_atom_site_label
_atom_site_type_symbol
_atom_site_fract_x
_atom_site_fract_y
_atom_site_fract_z
_atom_site_occupancy
Sr1 Sr 0.0000 0.0000 0.0000 1
Sr2 Sr 0.5000 0.0000 0.4905 1
Zn1 Zn 0.0000 0.5000 0.6733 1
Sn1 Sn 0.0000 0.5000 0.3546 1
Sn2 Sn 0.5000 0.5000 0.1566 1
Sn3 Sn 0.5000 0.5000 0.8081 1
# Space group ... Pmm2 (25)
# ΔE to the lowest computed polymorph ... 0.0217 eV per atom
# E_form ... -456 meV per atom

# Pm2TePbO8 | Alexandria via LeMat-Bulk | PBE | optimized geometry
data_Pm2TePbO8
_cell_length_a 5.0882
_cell_length_b 5.0882
_cell_length_c 6.9839
_cell_angle_alpha 90.23
_cell_angle_beta 90.23
_cell_angle_gamma 92.86
_symmetry_space_group_name_H-M 'P 1'
_symmetry_Int_Tables_number 1
loop_
_symmetry_equiv_pos_as_xyz
'x,y,z'
loop_
_atom_site_label
_atom_site_type_symbol
_atom_site_fract_x
_atom_site_fract_y
_atom_site_fract_z
_atom_site_occupancy
Pm1 Pm 0.0198 0.0198 0.2571 1
Pm2 Pm 0.9802 0.9802 0.7429 1
Te1 Te 0.5000 0.5000 0.5000 1
Pb1 Pb 0.5000 0.5000 0.0000 1
O1 O 0.2057 0.2057 0.9866 1
O2 O 0.2250 0.2250 0.5182 1
O3 O 0.3058 0.6641 0.2867 1
O4 O 0.3359 0.6942 0.7133 1
O5 O 0.6641 0.3058 0.2867 1
O6 O 0.6942 0.3359 0.7133 1
O7 O 0.7750 0.7750 0.4818 1
O8 O 0.7943 0.7943 0.0134 1
# Space group ... C2/m (12)
# ΔE_f (raw) ... -1.97 eV per atom

# LiIn3Cu8 | Alexandria via LeMat-Bulk | PBE | optimized geometry
data_LiIn3Cu8
_cell_length_a 8.6147
_cell_length_b 8.6147
_cell_length_c 8.6147
_cell_angle_alpha 34.04
_cell_angle_beta 34.04
_cell_angle_gamma 34.04
_symmetry_space_group_name_H-M 'P 1'
_symmetry_Int_Tables_number 1
loop_
_symmetry_equiv_pos_as_xyz
'x,y,z'
loop_
_atom_site_label
_atom_site_type_symbol
_atom_site_fract_x
_atom_site_fract_y
_atom_site_fract_z
_atom_site_occupancy
Li1 Li 0.0000 0.0000 0.0000 1
In1 In 0.1207 0.1207 0.1207 1
In2 In 0.5050 0.5050 0.5050 1
In3 In 0.6327 0.6327 0.6327 1
Cu1 Cu 0.0662 0.0663 0.5662 1
Cu2 Cu 0.0662 0.5648 0.5648 1
Cu3 Cu 0.0662 0.5662 0.0662 1
Cu4 Cu 0.3158 0.3158 0.3158 1
Cu5 Cu 0.5648 0.0662 0.5648 1
Cu6 Cu 0.5648 0.5648 0.0662 1
Cu7 Cu 0.5662 0.0662 0.0662 1
Cu8 Cu 0.8160 0.8160 0.8160 1
# Space group ... R3m (160)
# ΔE to the lowest computed polymorph ... 0.0000 eV per atom
# E_form ... -54 meV per atom